# 1
Density functional theory data (PBE) for a relaxed structure of BaSi2Ni.

abc: 3.3190 3.3190 7.2789
angles: 90.00 90.00 98.33
Positions (direct):
1 Ba 0.5000 0.5000 0.2500
2 Ni 0.5000 0.5000 0.7500
3 Si 0.0000 0.0000 0.9113
4 Si 0.0000 0.0000 0.5887

Summary:
N(E_F)   2.49 states/eV/f.u.
V   79.3 Å³/f.u.
Space-group type   Cmmm, No. 65
Mass density   5.28 g cm⁻³
Formation energy from raw total energies   -0.0299 eV per atom
Total energy   -18.7 eV for the cell shown

***

# 2
Density functional theory data (PBE) for a relaxed structure of BC2.

abc: 2.5159 2.4727 12.2699
angles: 90.00 90.00 90.00
Positions (direct):
1 B 0.5000 0.5000 0.8533
2 B 0.5000 0.5000 0.4665
3 B 0.5000 0.0000 0.5760
4 B 0.0000 0.0000 0.6840
5 C 0.5000 0.0000 0.9459
6 C 0.0000 0.5000 0.7725
7 C 0.5000 0.5000 0.1638
8 C 0.5000 0.0000 0.2369
9 C 0.0000 0.0000 0.3113
10 C 0.0000 0.5000 0.3829
11 C 0.0000 0.0000 0.0156
12 C 0.0000 0.5000 0.0913

Summary:
DFT formation energy   89 kJ/mol of formula units
Excess energy over the best structure of this formula in the dataset   0.0675 eV per atom
N(E_F)   0.54 states/eV/f.u.
V   19.1 Å³/f.u.
Space-group type   Pmm2, No. 25
Mass density   3.03 g cm⁻³
Total energy   -96.8 eV for the cell shown

***

# 3
Density functional theory data (PBE) for a relaxed structure of Tb2SmErHg4.

abc: 5.2857 5.2857 9.1819
angles: 73.27 73.27 60.00
Each line ends with the local moment (μB).
Positions (direct):
1 Tb 0.7506 0.7506 0.7482  0.13
2 Tb 0.2494 0.2494 0.2518  0.13
3 Sm 0.0000 0.0000 0.0000  0.15
4 Er 0.5000 0.5000 0.5000  0.08
5 Hg 0.3768 0.3768 0.8697  0.01
6 Hg 0.8737 0.8737 0.3790  0.01
7 Hg 0.1263 0.1263 0.6210  0.01
8 Hg 0.6232 0.6232 0.1303  0.01

Summary:
DFT formation energy   -367 kJ/mol of formula units
N(E_F)   8.89 states/eV/f.u.
V   209.5 Å³/f.u.
Space-group type   R-3m, No. 166
Mass density   11.39 g cm⁻³
Total energy   -23.5 eV for the cell shown

***

# 4
Density functional theory data (PBE) for a relaxed structure of NaPtS.

abc: 4.2413 6.0692 6.0658
angles: 76.23 69.54 69.55
Positions (direct):
1 Pt 0.9998 0.3246 0.6759
2 Pt 0.0002 0.6754 0.3241
3 Na 0.2432 0.7575 0.7562
4 Na 0.7568 0.2425 0.2438
5 S 0.4993 0.2340 0.7675
6 S 0.5007 0.7660 0.2325

Summary:
N(E_F)   1.43 states/eV/f.u.
V   67.9 Å³/f.u.
Space-group type   C2/m, No. 12
Mass density   6.11 g cm⁻³
Formation energy from raw total energies   -0.4859 eV per atom
Total energy   -25.9 eV for the cell shown

***

# 5
Density functional theory data (PBE) for a relaxed structure of TaSb2Mo.

abc: 10.5978 10.5978 10.5978
angles: 17.57 17.57 17.57
Positions (direct):
1 Mo 0.7598 0.7598 0.7598
2 Sb 0.0233 0.0233 0.0233
3 Sb 0.2291 0.2291 0.2291
4 Ta 0.4878 0.4878 0.4878

Summary:
N(E_F)   1.61 states/eV/f.u.
V   94.7 Å³/f.u.
Space-group type   R3m, No. 160
Mass density   9.12 g cm⁻³
Formation energy from raw total energies   0.1165 eV per atom
Total energy   -30.5 eV for the cell shown

***

# 6
Density functional theory data (PBE) for a relaxed structure of PrDy3Th2Sb6.

abc: 4.4637 8.8886 9.9481
angles: 102.64 102.96 90.00
Positions (direct):
1 Pr 0.5000 0.0000 0.0000
2 Dy 0.5000 0.5000 0.0000
3 Dy 0.8345 0.1666 0.6690
4 Dy 0.1655 0.8334 0.3310
5 Th 0.8344 0.6687 0.6688
6 Th 0.1656 0.3313 0.3312
7 Sb 0.3304 0.9209 0.6608
8 Sb 0.6652 0.5878 0.3304
9 Sb 0.6696 0.0791 0.3392
10 Sb 0.9983 0.2572 0.9967
11 Sb 0.0017 0.7428 0.0033
12 Sb 0.3348 0.4122 0.6696

Summary:
N(E_F)   4.58 states/eV/f.u.
V   374.8 Å³/f.u.
Space-group type   C2/m, No. 12
Mass density   8.08 g cm⁻³
Formation energy from raw total energies   -1.0762 eV per atom
Total energy   -71.1 eV for the cell shown